Entry 1:
Entry from Alexandria: crystalline Zr2ScCd3 at its relaxed geometry (PBE-GGA).

Geometry as POSCAR:
```
Zr2ScCd3
1.0
-2.283 0.694 -2.619
-2.624 -1.420 1.911
-1.995 9.370 4.220
Zr Sc Cd
2 1 3
direct
0.500 0.500 0.834
0.500 0.500 0.166
0.500 0.500 0.500
0.000 0.000 0.000
0.000 0.000 0.664
0.000 0.000 0.336
```

**DOS(E_F)**: 6.3 states/eV per cell
**Symmetry**: P4/mmm (123)
**DFT formation energy**: -0.14 eV per atom



Entry 2:
Entry from Alexandria: crystalline Zr4Sc2Cd at its relaxed geometry (PBE-GGA).

Geometry as POSCAR:
```
Zr4Sc2Cd
1.0
5.261 0.000 0.000
0.000 5.261 0.000
2.630 2.630 7.182
Sc Zr Cd
2 4 1
direct
0.610 0.610 0.781
0.390 0.390 0.219
0.808 0.808 0.383
0.192 0.192 0.617
0.000 0.500 0.000
0.500 0.000 0.000
0.000 0.000 0.000
```

**Energy above the most stable polymorph in this dataset**: 1.042 eV per atom
**DOS(E_F)**: 14.3 states/eV per cell
**Symmetry**: I4/mmm (139)
**DFT formation energy**: 1.05 eV per atom



Entry 3:
Entry from Alexandria: crystalline ZrScCd4 at its relaxed geometry (PBE-GGA).

Geometry as POSCAR:
```
ZrScCd4
1.0
-2.579 1.581 1.173
-2.430 -4.130 4.711
3.165 7.264 1.652
Zr Sc Cd
1 1 4
direct
0.000 0.000 0.000
0.500 0.500 0.500
0.835 0.497 0.833
0.333 0.000 0.334
0.165 0.503 0.167
0.667 0.000 0.666
```

**Energy above the most stable polymorph in this dataset**: 0.003 eV per atom
**DOS(E_F)**: 4.7 states/eV per cell
**Symmetry**: C2/m (12)
**DFT formation energy**: -0.15 eV per atom